# 1
DFT (PBE) results for a relaxed structure of PmPrGaHg.

Lattice parameters (Å, degrees): 5.3503 5.3503 5.3503 60.00 60.00 60.00
Closest atoms and distances in Å follow each position.
Positions (direct):
Pr1 0.5000 0.5000 0.5000  4 Hg 3.28, 4 Ga 3.28
Hg1 0.7500 0.7500 0.7500  4 Pr 3.28, 4 Pm 3.28
Ga1 0.2500 0.2500 0.2500  4 Pr 3.28, 4 Pm 3.28
Pm1 0.0000 0.0000 0.0000  4 Ga 3.28, 4 Hg 3.28

* N(E_F): 1.376 states/eV/atom
* space group: F-43m, No. 216
* polymorph energy (0 for the lowest one): 22 meV per atom
* crystal system: cubic
* ΔH_f (0 K): -47.7 kJ per mole of atoms
* size of the total moment: 0.37 Bohr magnetons per cell

---

# 2
DFT (PBE) results for a relaxed structure of Sr3Zn2Pd4Pb2.

Lattice parameters (Å, degrees): 4.5797 4.5797 15.5885 90.00 90.00 120.00
Closest atoms and distances in Å follow each position.
Positions (direct):
Sr1 0.0000 0.0000 0.7359  6 Pd 3.22-3.37, 3 Zn 3.33
Sr2 0.0000 0.0000 0.0000  6 Pd 3.33, 6 Zn 3.38
Sr3 0.0000 0.0000 0.2641  6 Pd 3.22-3.37, 3 Zn 3.33
Zn1 0.6667 0.3333 0.8653  3 Pd 2.64
Zn2 0.3333 0.6667 0.1347  3 Pd 2.64
Pd1 0.6667 0.3333 0.1303  3 Zn 2.64
Pd2 0.3333 0.6667 0.8697  3 Zn 2.64
Pd3 0.6667 0.3333 0.6180  4 Pb 2.75-2.91
Pd4 0.3333 0.6667 0.3820  4 Pb 2.75-2.91
Pb1 0.6667 0.3333 0.4312  4 Pd 2.75-2.91
Pb2 0.3333 0.6667 0.5688  4 Pd 2.75-2.91

* N(E_F): 0.362 states/eV/atom
* space group: P-3m1, No. 164
* crystal system: trigonal
* ΔH_f (0 K): -44.5 kJ per mole of atoms
* size of the total moment: 0.00 Bohr magnetons per cell

---

# 3
DFT (PBE) results for a relaxed structure of Mg2RhAu.

Lattice parameters (Å, degrees): 4.2999 4.2987 3.5324 90.00 90.00 90.00
Closest atoms and distances in Å follow each position.
Positions (direct):
Rh1 0.5000 0.0000 0.5000  8 Mg 2.78, 4 Au 3.04
Mg1 0.0000 0.0000 0.0000  4 Au 2.78, 4 Rh 2.78, 4 Mg 3.04
Mg2 0.5000 0.5000 0.0000  4 Rh 2.78, 4 Au 2.78, 4 Mg 3.04
Au1 0.0000 0.5000 0.5000  8 Mg 2.78, 4 Rh 3.04

* N(E_F): 0.292 states/eV/atom
* space group: P4/mmm, No. 123
* crystal system: tetragonal
* ΔH_f (0 K): -55.8 kJ per mole of atoms
* size of the total moment: 0.00 Bohr magnetons per cell

---

# 4
DFT (PBE) results for a relaxed structure of Sc3U2C4.

Lattice parameters (Å, degrees): 3.3590 5.8003 7.4951 82.30 77.05 73.17
Closest atoms and distances in Å follow each position.
Positions (direct):
Sc1 0.0000 0.0000 0.0000  6 C 2.30-2.42
Sc2 0.1936 0.4303 0.1826  5 C 2.34-2.44
Sc3 0.8064 0.5697 0.8174  5 C 2.34-2.44
U1 0.6309 0.1324 0.6058  4 C 2.20-2.41
U2 0.3691 0.8676 0.3942  4 C 2.20-2.41
C1 0.7807 0.1550 0.2837  3 Sc 2.30-2.35, 3 U 2.35-2.41
C2 0.2193 0.8450 0.7163  3 Sc 2.30-2.35, 3 U 2.35-2.41
C3 0.4205 0.2821 0.8768  1 U 2.20, 5 Sc 2.34-2.44
C4 0.5795 0.7179 0.1232  1 U 2.20, 5 Sc 2.34-2.44

* N(E_F): 0.889 states/eV/atom
* space group: C2/m, No. 12
* crystal system: monoclinic
* ΔH_f (0 K): -25.2 kJ per mole of atoms
* size of the total moment: 0.73 Bohr magnetons per cell

---

# 5
DFT (PBE) results for a relaxed structure of Np2Tl2NiS6.

Lattice parameters (Å, degrees): 6.5941 6.5941 7.9666 98.20 98.20 120.13
Closest atoms and distances in Å follow each position.
Positions (direct):
Np1 0.3332 0.6668 0.5000  6 S 2.66-2.68
Np2 0.6668 0.3332 0.5000  6 S 2.66-2.68
Tl1 0.8304 0.1696 0.0000  6 S 3.23-3.25
Tl2 0.1696 0.8304 0.0000  6 S 3.23-3.25
Ni1 0.0000 0.0000 0.5000  6 S 2.42-2.57
S1 0.7592 0.7592 0.6801  1 Ni 2.42, 2 Np 2.68
S2 0.0660 0.3871 0.6902  1 Ni 2.57, 2 Np 2.66-2.67
S3 0.2408 0.2408 0.3199  1 Ni 2.42, 2 Np 2.68
S4 0.3871 0.0660 0.6902  1 Ni 2.57, 2 Np 2.66-2.67
S5 0.9340 0.6129 0.3098  1 Ni 2.57, 2 Np 2.66-2.67
S6 0.6129 0.9340 0.3098  1 Ni 2.57, 2 Np 2.66-2.67

* N(E_F): 1.291 states/eV/atom
* space group: C2/m, No. 12
* crystal system: monoclinic
* formation energy (no corrections): -793 meV/atom
* size of the total moment: 7.40 Bohr magnetons per cell

---

# 6
DFT (PBE) results for a relaxed structure of SnPd4Se.

Lattice parameters (Å, degrees): 4.9068 7.9192 5.7313 90.00 90.00 111.45
Closest atoms and distances in Å follow each position.
Positions (direct):
Sn1 0.7135 0.3691 0.7500  10 Pd 2.80-2.92
Sn2 0.2865 0.6309 0.2500  10 Pd 2.80-2.92
Pd1 0.2741 0.6390 0.7500  1 Se 2.61, 3 Sn 2.80-2.87, 6 Pd 2.85-2.89
Pd2 0.7259 0.3610 0.2500  1 Se 2.61, 3 Sn 2.80-2.87, 6 Pd 2.85-2.89
Pd3 0.2764 0.0135 0.7500  2 Se 2.51
Pd4 0.7236 0.9865 0.2500  2 Se 2.51
Pd5 0.8075 0.6877 0.0031  1 Se 2.60, 2 Sn 2.80-2.81, 5 Pd 2.83-2.90
Pd6 0.1925 0.3123 0.5031  1 Se 2.60, 2 Sn 2.80-2.81, 5 Pd 2.83-2.90
Pd7 0.8075 0.6877 0.4969  1 Se 2.60, 2 Sn 2.80-2.81, 5 Pd 2.83-2.90
Pd8 0.1925 0.3123 0.9969  1 Se 2.60, 2 Sn 2.80-2.81, 5 Pd 2.83-2.90
Se1 0.7332 0.9399 0.7500  5 Pd 2.51-2.61
Se2 0.2668 0.0601 0.2500  5 Pd 2.51-2.61

* N(E_F): 0.344 states/eV/atom
* space group: P2_1/m, No. 11
* polymorph energy (0 for the lowest one): 10 meV per atom
* crystal system: monoclinic
* formation energy (no corrections): -337 meV/atom
* size of the total moment: 0.00 Bohr magnetons per cell

---

# 7
DFT (PBE) results for a relaxed structure of Cs2VH4.

Lattice parameters (Å, degrees): 4.1007 4.1007 8.1693 75.46 75.46 90.00
Closest atoms and distances in Å follow each position.
Positions (direct):
Cs1 0.6486 0.6486 0.7028  8 H 2.93-3.06
Cs2 0.3514 0.3514 0.2972  8 H 2.93-3.06
H1 0.8782 0.8782 0.2437  1 V 1.86
H2 0.1218 0.1218 0.7563  1 V 1.86
H3 0.0000 0.5000 0.0000  2 V 2.05
H4 0.5000 0.0000 0.0000  2 V 2.05
V1 0.0000 0.0000 0.0000  6 H 1.86-2.05

* space group: I4/mmm, No. 139
* crystal system: tetragonal
* uncorrected energy: -24.6 eV/cell
* size of the total moment: 3.00 Bohr magnetons per cell

---

# 8
DFT (PBE) results for a relaxed structure of YBi2RuPt.

Lattice parameters (Å, degrees): 5.3995 4.8419 5.3995 90.00 90.00 90.00
Closest atoms and distances in Å follow each position.
Positions (direct):
Y1 0.5000 0.5000 0.5000  8 Bi 3.63, 4 Ru 3.82
Ru1 0.0000 0.5000 0.0000  2 Pt 2.42
Bi1 0.0000 0.0000 0.5000  2 Pt 2.70
Bi2 0.5000 0.0000 0.0000  2 Pt 2.70
Pt1 0.0000 0.0000 0.0000  2 Ru 2.42, 4 Bi 2.70

* N(E_F): 1.352 states/eV/atom
* space group: P4/mmm, No. 123
* crystal system: tetragonal
* ΔH_f (0 K): 48.4 kJ per mole of atoms
* size of the total moment: 0.00 Bohr magnetons per cell